Computed, not measured: a relaxed structure of ZrTlOs2 at the PBE level of DFT. Values from VASP.

Geometry as Quantum ESPRESSO input:
```
&SYSTEM
  ibrav = 0, nat = 4, ntyp = 3
/
ATOMIC_SPECIES
Os 190.23 Os.upf
Tl 204.38 Tl.upf
Zr 91.22 Zr.upf
ATOMIC_POSITIONS angstrom
Os -8.089 1.848 3.569
Os -4.244 0.970 1.872
Tl -1.469 0.180 2.386
Zr -5.581 1.119 4.199
CELL_PARAMETERS angstrom
-0.054 -2.677 1.265
1.226 2.097 1.693
-8.222 1.879 3.627
```

Properties
- DFT total energy (eV/cell) = -31.4
- calculated formation energy (meV/atom) = 500.9
- polymorph energy (0 for the lowest one) (meV per atom) = 281
- spin magnetization (μB per cell) = 0.0

Computed, not measured: a relaxed structure of ZrTlOs2 at the PBE level of DFT. Values from VASP.

Geometry as Quantum ESPRESSO input:
```
&SYSTEM
  ibrav = 0, nat = 4, ntyp = 3
/
ATOMIC_SPECIES
Os 190.23 Os.upf
Tl 204.38 Tl.upf
Zr 91.22 Zr.upf
ATOMIC_POSITIONS angstrom
Os 0.052 -0.483 -9.178
Os -0.861 -2.406 -5.165
Tl -1.381 -3.816 -7.654
Zr -0.460 -1.272 -2.551
CELL_PARAMETERS angstrom
-1.371 0.423 -4.660
1.482 -0.768 -4.581
-1.953 -4.743 -0.964
```

Properties
- DFT total energy (eV/cell) = -31.8
- calculated formation energy (meV/atom) = 403.7
- polymorph energy (0 for the lowest one) (meV per atom) = 184
- spin magnetization (μB per cell) = 0.0

Computed, not measured: a relaxed structure of ZrTlOs2 at the PBE level of DFT. Values from VASP.

Geometry as Quantum ESPRESSO input:
```
&SYSTEM
  ibrav = 0, nat = 4, ntyp = 3
/
ATOMIC_SPECIES
Os 190.23 Os.upf
Tl 204.38 Tl.upf
Zr 91.22 Zr.upf
ATOMIC_POSITIONS angstrom
Os 0.000 0.000 0.000
Os 0.755 -0.747 2.791
Tl -1.219 1.040 4.145
Zr 0.740 1.990 2.100
CELL_PARAMETERS angstrom
-1.234 3.777 3.454
-1.204 -1.697 4.836
3.933 -0.836 -3.397
```

Properties
- DFT total energy (eV/cell) = -31.9
- calculated formation energy (meV/atom) = 380.5
- polymorph energy (0 for the lowest one) (meV per atom) = 161
- spin magnetization (μB per cell) = 0.0

Computed, not measured: a relaxed structure of ZrTlOs2 at the PBE level of DFT. Values from VASP.

Geometry as Quantum ESPRESSO input:
```
&SYSTEM
  ibrav = 0, nat = 4, ntyp = 3
/
ATOMIC_SPECIES
Os 190.23 Os.upf
Tl 204.38 Tl.upf
Zr 91.22 Zr.upf
ATOMIC_POSITIONS angstrom
Os 0.069 0.045 0.000
Os 3.737 2.423 0.000
Tl 3.019 -0.487 1.355
Zr 1.417 1.983 1.352
CELL_PARAMETERS angstrom
5.408 -0.002 0.002
2.204 4.939 -0.002
-3.175 -3.441 2.707
```

Properties
- DFT total energy (eV/cell) = -31.5
- calculated formation energy (meV/atom) = 477.5
- polymorph energy (0 for the lowest one) (meV per atom) = 258
- spin magnetization (μB per cell) = 0.0

Computed, not measured: a relaxed structure of ZrTlOs2 at the PBE level of DFT. Values from VASP.

Geometry as Quantum ESPRESSO input:
```
&SYSTEM
  ibrav = 0, nat = 4, ntyp = 3
/
ATOMIC_SPECIES
Os 190.23 Os.upf
Tl 204.38 Tl.upf
Zr 91.22 Zr.upf
ATOMIC_POSITIONS angstrom
Os 28.389 4.246 2.488
Os 7.357 1.100 0.645
Tl 14.466 2.164 1.268
Zr 21.284 3.183 1.865
CELL_PARAMETERS angstrom
9.825 -0.026 -0.015
9.387 2.899 -0.015
9.387 1.404 2.536
```

Properties
- DFT total energy (eV/cell) = -31.4
- calculated formation energy (meV/atom) = 502.5
- polymorph energy (0 for the lowest one) (meV per atom) = 283
- spin magnetization (μB per cell) = 0.0

Computed, not measured: a relaxed structure of Zr2TlOs2 at the PBE level of DFT. Values from VASP.

Geometry as Quantum ESPRESSO input:
```
&SYSTEM
  ibrav = 0, nat = 5, ntyp = 3
/
ATOMIC_SPECIES
Zr 91.22 Zr.upf
Tl 204.38 Tl.upf
Os 190.23 Os.upf
ATOMIC_POSITIONS angstrom
Zr -3.001 -1.862 -0.116
Zr -0.532 -3.209 1.380
Tl 0.000 0.000 0.000
Os -4.216 -3.223 4.054
Os -2.659 -2.033 2.557
CELL_PARAMETERS angstrom
-0.969 -3.975 4.802
-5.907 -1.281 1.809
3.342 0.184 -5.348
```

Properties
- DFT total energy (eV/cell) = -41.2
- calculated formation energy (meV/atom) = 143.8
- polymorph energy (0 for the lowest one) (meV per atom) = 170
- spin magnetization (μB per cell) = 0.0

Computed, not measured: a relaxed structure of ZrTlOs at the PBE level of DFT. Values from VASP.

Geometry as Quantum ESPRESSO input:
```
&SYSTEM
  ibrav = 0, nat = 3, ntyp = 3
/
ATOMIC_SPECIES
Os 190.23 Os.upf
Tl 204.38 Tl.upf
Zr 91.22 Zr.upf
ATOMIC_POSITIONS angstrom
Os -4.605 -3.944 2.791
Tl -2.593 -1.122 -0.618
Zr -3.141 -4.068 0.590
CELL_PARAMETERS angstrom
-2.342 1.570 -1.646
1.445 -2.617 -1.313
-4.721 -4.043 2.861
```

Properties
- DFT total energy (eV/cell) = -21.2
- calculated formation energy (meV/atom) = 319.2
- polymorph energy (0 for the lowest one) (meV per atom) = 195
- spin magnetization (μB per cell) = 0.0

Computed, not measured: a relaxed structure of ZrTlOs at the PBE level of DFT. Values from VASP.

Geometry as Quantum ESPRESSO input:
```
&SYSTEM
  ibrav = 0, nat = 3, ntyp = 3
/
ATOMIC_SPECIES
Os 190.23 Os.upf
Tl 204.38 Tl.upf
Zr 91.22 Zr.upf
ATOMIC_POSITIONS angstrom
Os -2.015 4.098 7.080
Tl 0.000 0.000 0.000
Zr -1.343 2.732 4.720
CELL_PARAMETERS angstrom
-1.652 3.918 1.718
-2.645 -0.074 3.746
1.611 1.620 3.977
```

Properties
- DFT total energy (eV/cell) = -21.2
- calculated formation energy (meV/atom) = 302.5
- polymorph energy (0 for the lowest one) (meV per atom) = 178
- spin magnetization (μB per cell) = 0.0

Computed, not measured: a relaxed structure of Zr2TlOs2 at the PBE level of DFT. Values from VASP.

Geometry as Quantum ESPRESSO input:
```
&SYSTEM
  ibrav = 0, nat = 10, ntyp = 3
/
ATOMIC_SPECIES
Tl 204.38 Tl.upf
Os 190.23 Os.upf
Zr 91.22 Zr.upf
ATOMIC_POSITIONS angstrom
Tl 0.000 0.000 0.000
Tl -4.764 -2.693 -0.527
Os -4.643 -5.034 -2.414
Os -7.671 -3.266 -0.003
Os -4.885 -0.353 1.360
Os -1.857 -2.121 -1.051
Zr -2.267 -4.896 -0.965
Zr -6.285 -5.672 -0.229
Zr -6.434 -2.435 2.375
Zr -2.416 -1.659 1.639
CELL_PARAMETERS angstrom
-7.124 0.789 3.013
-2.404 -6.176 -4.067
0.827 -1.944 2.464
```

Properties
- DFT total energy (eV/cell) = -84.1
- calculated formation energy (meV/atom) = -25.9
- polymorph energy (0 for the lowest one) (meV per atom) = 0
- spin magnetization (μB per cell) = 0.0

Computed, not measured: a relaxed structure of ZrTlOs2 at the PBE level of DFT. Values from VASP.

Geometry as Quantum ESPRESSO input:
```
&SYSTEM
  ibrav = 0, nat = 4, ntyp = 3
/
ATOMIC_SPECIES
Os 190.23 Os.upf
Tl 204.38 Tl.upf
Zr 91.22 Zr.upf
ATOMIC_POSITIONS angstrom
Os 0.246 0.055 0.079
Os 1.433 -0.738 2.273
Tl 3.783 0.844 1.219
Zr 5.832 0.243 3.691
CELL_PARAMETERS angstrom
-0.995 0.562 2.699
0.392 -2.812 0.730
7.931 1.769 2.556
```

Properties
- DFT total energy (eV/cell) = -32.5
- calculated formation energy (meV/atom) = 219.9
- polymorph energy (0 for the lowest one) (meV per atom) = 0
- spin magnetization (μB per cell) = 0.0

Computed, not measured: a relaxed structure of ZrTlOs at the PBE level of DFT. Values from VASP.

Geometry as Quantum ESPRESSO input:
```
&SYSTEM
  ibrav = 0, nat = 3, ntyp = 3
/
ATOMIC_SPECIES
Os 190.23 Os.upf
Tl 204.38 Tl.upf
Zr 91.22 Zr.upf
ATOMIC_POSITIONS angstrom
Os 0.000 0.000 0.218
Tl 0.000 2.722 0.649
Zr 2.357 1.361 2.190
CELL_PARAMETERS angstrom
4.714 0.000 0.000
-2.357 4.083 0.000
0.000 0.000 3.057
```

Properties
- DFT total energy (eV/cell) = -21.3
- calculated formation energy (meV/atom) = 266.7
- polymorph energy (0 for the lowest one) (meV per atom) = 143
- spin magnetization (μB per cell) = 0.0

Computed, not measured: a relaxed structure of ZrTl3Os at the PBE level of DFT. Values from VASP.

Geometry as Quantum ESPRESSO input:
```
&SYSTEM
  ibrav = 0, nat = 5, ntyp = 3
/
ATOMIC_SPECIES
Tl 204.38 Tl.upf
Os 190.23 Os.upf
Zr 91.22 Zr.upf
ATOMIC_POSITIONS angstrom
Tl 1.573 -1.015 -2.073
Tl 1.978 -0.701 1.844
Tl -1.190 -2.506 0.324
Os 2.361 -4.222 0.095
Zr 0.000 0.000 0.000
CELL_PARAMETERS angstrom
-2.380 -5.013 0.648
3.147 -2.030 -4.146
3.955 -1.401 3.688
```

Properties
- DFT total energy (eV/cell) = -18.0
- calculated formation energy (meV/atom) = 1779.8
- polymorph energy (0 for the lowest one) (meV per atom) = 742
- spin magnetization (μB per cell) = 3.3